Li8MnO4F2, relaxed, DFT PBE with a Hubbard U; space group = Cmc2_1, No. 36; DOS at the Fermi energy = 0.0 states/eV/cell; ρ = 2.31 g/cm³; energy relative to the lowest polymorph listed for this composition = 0.226 eV/f.u.; size of the total moment = 0.3333 μB per atom
1.0
2.886 -4.860 0.000
2.886 4.860 0.000
0.000 0.000 10.904
Li Mn O F
16 2 8 4
Cartesian
3.916 0.000 3.032
3.268 0.000 6.783
2.505 0.000 1.331
1.857 0.000 8.484
2.895 -1.599 9.843
2.878 -1.599 4.392
0.893 -1.449 2.842
1.128 -1.797 7.001
4.645 1.797 1.549
4.880 -1.449 8.294
4.880 1.449 8.294
4.645 -1.797 1.549
2.878 1.599 4.392
2.895 1.599 9.843
1.128 1.797 7.001
0.893 1.449 2.842
5.549 0.000 5.486
0.223 0.000 0.034
3.698 0.000 4.929
2.075 0.000 10.381
2.918 -1.654 7.832
0.170 0.000 7.468
2.855 -1.654 2.380
5.603 0.000 2.016
2.855 1.654 2.380
2.918 1.654 7.832
0.988 -1.661 4.895
4.784 -1.661 10.347
4.784 1.661 10.347
0.988 1.661 4.895